# 1
VASP calculation (PBE) on a relaxed LaEuZn2 crystal.

```
data_LaEuZn2
_space_group_name_H-M_alt 'F m -3 m'
_space_group_IT_number 225
_space_group_name_Hall '-F 4 2 3'
_cell_length_a 7.511
_cell_length_b 7.511
_cell_length_c 7.511
_cell_angle_alpha 90.00
_cell_angle_beta 90.00
_cell_angle_gamma 90.00
loop_
_atom_site_label
_atom_site_type_symbol
_atom_site_fract_x
_atom_site_fract_y
_atom_site_fract_z
_atom_site_occupancy
La1 La 0.000 0.000 0.000 1
Eu1 Eu 0.000 0.000 0.500 1
Zn1 Zn 0.250 0.250 0.250 1
```

crystal system = cubic
energy = -4.73 eV per atom
calculated formation energy = -0.288 eV per atom

---

# 2
VASP calculation (PBE) on a relaxed LaEuZn crystal.

```
data_LaEuZn
_space_group_name_H-M_alt 'I 4 m m'
_space_group_IT_number 107
_space_group_name_Hall 'I 4 -2'
_cell_length_a 3.799
_cell_length_b 3.799
_cell_length_c 12.961
_cell_angle_alpha 90.00
_cell_angle_beta 90.00
_cell_angle_gamma 90.00
loop_
_atom_site_label
_atom_site_type_symbol
_atom_site_fract_x
_atom_site_fract_y
_atom_site_fract_z
_atom_site_occupancy
La1 La 0.000 0.000 0.000 1
Eu1 Eu 0.000 0.000 0.727 1
Zn1 Zn 0.000 0.000 0.367 1
```

crystal system = tetragonal
energy = -5.67 eV per atom
calculated formation energy = -0.183 eV per atom
excess energy over the best structure of this formula in the dataset = 0.000 eV/atom

---

# 3
VASP calculation (PBE) on a relaxed LaEuZn crystal.

```
data_LaEuZn
_space_group_name_H-M_alt 'F -4 3 m'
_space_group_IT_number 216
_space_group_name_Hall 'F -4 2 3'
_cell_length_a 7.402
_cell_length_b 7.402
_cell_length_c 7.402
_cell_angle_alpha 90.00
_cell_angle_beta 90.00
_cell_angle_gamma 90.00
loop_
_atom_site_label
_atom_site_type_symbol
_atom_site_fract_x
_atom_site_fract_y
_atom_site_fract_z
_atom_site_occupancy
La1 La 0.000 0.000 0.000 1
Eu1 Eu 0.000 0.000 0.500 1
Zn1 Zn 0.250 0.250 0.250 1
```

crystal system = cubic
energy = -5.48 eV per atom
calculated formation energy = 0.009 eV per atom
excess energy over the best structure of this formula in the dataset = 0.192 eV/atom

---

# 4
VASP calculation (PBE) on a relaxed LaEuZn crystal.

```
data_LaEuZn
_space_group_name_H-M_alt 'P 3 m 1'
_space_group_IT_number 156
_cell_length_a 5.1677
_cell_length_b 5.1677
_cell_length_c 3.8256
_cell_angle_alpha 90.00
_cell_angle_beta 90.00
_cell_angle_gamma 120.00
loop_
_space_group_symop_operation_xyz
'x,y,z'
'-y,x-y,z'
'-x+y,-x,z'
'-y,-x,z'
'-x+y,y,z'
'x,x-y,z'
loop_
_atom_site_label
_atom_site_type_symbol
_atom_site_fract_x
_atom_site_fract_y
_atom_site_fract_z
_atom_site_occupancy
La1 La 0.0000 0.0000 0.0000 1
Eu1 Eu 0.6667 0.3333 0.4190 1
Zn1 Zn 0.3333 0.6667 0.6896 1
```

crystal system = trigonal
energy = -5.52 eV per atom
calculated formation energy = -0.030 eV per atom
excess energy over the best structure of this formula in the dataset = 0.153 eV/atom

---

# 5
VASP calculation (PBE) on a relaxed LaEuZn2 crystal.

```
data_LaEuZn2
_space_group_name_H-M_alt 'P 4/m m m'
_space_group_IT_number 123
_space_group_name_Hall '-P 4 2'
_cell_length_a 5.306
_cell_length_b 5.306
_cell_length_c 3.780
_cell_angle_alpha 90.00
_cell_angle_beta 90.00
_cell_angle_gamma 90.00
loop_
_atom_site_label
_atom_site_type_symbol
_atom_site_fract_x
_atom_site_fract_y
_atom_site_fract_z
_atom_site_occupancy
La1 La 0.000 0.000 0.000 1
Eu1 Eu 0.500 0.500 0.000 1
Zn1 Zn 0.000 0.500 0.500 1
```

crystal system = tetragonal
energy = -4.73 eV per atom
calculated formation energy = -0.292 eV per atom

---

# 6
VASP calculation (PBE) on a relaxed LaEuZn4 crystal.

```
data_LaEuZn4
_space_group_name_H-M_alt 'F -4 3 m'
_space_group_IT_number 216
_space_group_name_Hall 'F -4 2 3'
_cell_length_a 7.997
_cell_length_b 7.997
_cell_length_c 7.997
_cell_angle_alpha 90.00
_cell_angle_beta 90.00
_cell_angle_gamma 90.00
loop_
_atom_site_label
_atom_site_type_symbol
_atom_site_fract_x
_atom_site_fract_y
_atom_site_fract_z
_atom_site_occupancy
La1 La 0.000 0.000 0.000 1
Eu1 Eu 0.250 0.250 0.750 1
Zn1 Zn 0.126 0.126 0.374 1
```

crystal system = cubic
energy = -3.66 eV per atom
calculated formation energy = -0.279 eV per atom

---

# 7
VASP calculation (PBE) on a relaxed La2EuZr crystal.

```
data_La2EuZr
_space_group_name_H-M_alt 'P 4/m m m'
_space_group_IT_number 123
_space_group_name_Hall '-P 4 2'
_cell_length_a 4.082
_cell_length_b 4.082
_cell_length_c 8.117
_cell_angle_alpha 90.00
_cell_angle_beta 90.00
_cell_angle_gamma 90.00
loop_
_atom_site_label
_atom_site_type_symbol
_atom_site_fract_x
_atom_site_fract_y
_atom_site_fract_z
_atom_site_occupancy
La1 La 0.000 0.000 0.210 1
Eu1 Eu 0.500 0.500 0.500 1
Zr1 Zr 0.500 0.500 0.000 1
```

crystal system = tetragonal
energy = -6.99 eV per atom
calculated formation energy = 0.175 eV per atom
excess energy over the best structure of this formula in the dataset = 0.030 eV/atom

---

# 8
VASP calculation (PBE) on a relaxed La2EuZr crystal.

```
data_La2EuZr
_space_group_name_H-M_alt 'R -3 m'
_space_group_IT_number 166
_space_group_name_Hall '-R 3 2"'
_cell_length_a 3.5809
_cell_length_b 3.5809
_cell_length_c 35.5333
_cell_angle_alpha 90.00
_cell_angle_beta 90.00
_cell_angle_gamma 120.00
loop_
_atom_site_label
_atom_site_type_symbol
_atom_site_fract_x
_atom_site_fract_y
_atom_site_fract_z
_atom_site_occupancy
La1 La 0.0000 0.0000 0.2422 1
Eu1 Eu 0.0000 0.0000 0.0000 1
Zr1 Zr 0.0000 0.0000 0.5000 1
```

crystal system = trigonal
energy = -7.02 eV per atom
calculated formation energy = 0.145 eV per atom
excess energy over the best structure of this formula in the dataset = 0.000 eV/atom

---

Q: Which of these has the highest calculated formation energy?
A: number 7